Material: NdSmAg6
Method: DFT, PBE
State: relaxed

Calculated values
ΔH_f (0 K)   -0.229 eV per atom
DOS at the Fermi energy   1.48 states/eV per cell
Size of the total moment   0.0 μB per formula unit
Symmetry   No. 2
Volume   21.62 Å³ per atom

a b c (Å): 5.617 5.617 5.617
angles (deg): 96.87 97.02 96.85
Atoms (fractional coordinates):
1 Nd 0.000 0.000 0.000
2 Sm 0.500 0.500 0.500
3 Ag 0.036 0.749 0.465
4 Ag 0.251 0.536 0.963
5 Ag 0.464 0.036 0.749
6 Ag 0.536 0.964 0.251
7 Ag 0.749 0.464 0.037
8 Ag 0.964 0.251 0.535